Entry 1:
Compound: La2TlAg
Source: Alexandria via LeMat-Bulk
Functional: SCAN
Structure: PBEsol geometry

POSCAR file:
```
La2TlAg
1.0
-1.5847 -2.8384 1.8320
3.2241 0.7455 3.9441
-3.6710 3.5531 2.3293
Tl Ag La
1 1 2
Cartesian
-2.7884 0.5128 2.1825 Tl
0.0655 -0.3165 3.3666 Ag
-0.2382 0.2305 0.1511 La
-0.9060 2.8100 3.5698 La
```

Summary:
D(E_F) = 0.76 states/eV per atom
Raw total energy = -47.95 eV/atom
Theoretical density = 9.1 g/cm3
Energy relative to the elements = -0.462 eV/atom

Entry 2:
Compound: Sr2Ag2Bi
Source: Alexandria via LeMat-Bulk
Functional: SCAN
Structure: PBEsol geometry

POSCAR file:
```
Sr2Ag2Bi
1.0
-2.5045 -3.4519 -1.6854
6.3279 -2.7497 -3.7717
1.8285 -4.3856 6.2651
Sr Bi Ag
4 2 4
Cartesian
1.1503 -5.2207 2.7448 Sr
4.5612 -7.1879 1.7052 Sr
4.5016 -5.3665 -1.9368 Sr
1.0907 -3.3993 -0.8971 Sr
0.0000 0.0000 0.0000 Bi
4.0782 -3.5677 1.2467 Bi
4.0124 -4.9031 4.0797 Ag
6.7015 -5.1391 0.5669 Ag
4.1440 -2.2322 -1.5862 Ag
1.4549 -1.9962 1.9266 Ag
```

Summary:
D(E_F) = 0.31 states/eV per atom
Raw total energy = -37.67 eV/atom
Theoretical density = 7.0 g/cm3
Energy relative to the elements = -0.494 eV/atom